22
Lattice="1.581 -5.302 0.000 1.581 5.302 0.000 0.000 0.000 16.266" Properties=species:S:1:pos:R:3 comment="TmHf4N6 PBE-GGA relaxed" volume_a3_per_cell=272.61 dos_at_fermi_per_ev_cell=1.8 dft_energy_ev_per_atom=-10.345 pbc="T T T"
Tm 1.581 3.746 12.199
Tm 1.581 -3.746 4.066
Hf 1.581 4.163 2.254
Hf 1.581 4.163 5.879
Hf 1.581 1.385 0.784
Hf 1.581 1.385 7.349
Hf 1.581 -1.385 8.917
Hf 1.581 -1.385 15.482
Hf 1.581 -4.163 10.387
Hf 1.581 -4.163 14.011
N 0.000 0.000 0.000
N 0.000 0.000 8.133
N 1.581 3.228 4.066
N 1.581 2.425 9.460
N 1.581 2.425 14.939
N 1.581 0.367 2.605
N 1.581 0.367 5.528
N 1.581 -0.367 10.738
N 1.581 -0.367 13.661
N 1.581 -2.425 1.327
N 1.581 -2.425 6.806
N 1.581 -3.228 12.199

=====

4
Lattice="4.874 0.000 0.000 0.000 4.874 0.000 0.000 0.000 2.841" Properties=species:S:1:pos:R:3 comment="TaAgPt2 PBE-GGA relaxed" ef_ev_per_atom=-0.203 volume_a3_per_cell=67.50 dos_at_fermi_per_ev_cell=2.9 dft_energy_ev_per_atom=-6.899 pbc="T T T"
Ta 0.000 0.000 0.000
Ag 2.437 2.437 0.000
Pt 0.000 2.437 1.421
Pt 2.437 0.000 1.421

=====

12
Lattice="3.397 0.000 0.000 -1.698 2.942 0.000 0.000 0.000 33.366" Properties=species:S:1:pos:R:3 comment="HoTm2Cl PBE-GGA relaxed" volume_a3_per_cell=333.39 dos_at_fermi_per_ev_cell=17.1 dft_energy_ev_per_atom=-4.158 pbc="T T T"
Ho 0.000 0.000 0.000
Ho 0.000 1.961 22.244
Ho 1.698 0.981 11.122
Tm 0.000 0.000 3.347
Tm 0.000 0.000 30.019
Tm 0.000 1.961 18.897
Tm 0.000 1.961 25.591
Tm 1.698 0.981 7.775
Tm 1.698 0.981 14.469
Cl 0.000 0.000 16.683
Cl 0.000 1.961 5.561
Cl 1.698 0.981 27.805

=====

4
Lattice="4.422 0.000 0.000 0.000 4.247 0.000 -1.862 0.000 5.909" Properties=species:S:1:pos:R:3 comment="LaSiSb2 PBE-GGA relaxed" volume_a3_per_cell=110.97 dos_at_fermi_per_ev_cell=2.1 dft_energy_ev_per_atom=-4.978 pbc="T T T"
La 0.000 0.000 0.000
Si -0.931 0.000 2.954
Sb 0.452 2.124 4.423
Sb 2.108 2.124 1.486

=====

5
Lattice="4.693 0.000 0.000 0.000 4.693 0.000 0.000 0.000 4.693" Properties=species:S:1:pos:R:3 comment="ZrIrW3 PBE-GGA relaxed" ef_ev_per_atom=2.761 volume_a3_per_cell=103.37 dos_at_fermi_per_ev_cell=6.3 dft_energy_ev_per_atom=-8.493 pbc="T T T"
Zr 0.000 0.000 0.000
Ir 2.347 2.347 2.347
W 0.000 0.000 2.347
W 0.000 2.347 0.000
W 2.347 0.000 0.000

=====

10
Lattice="3.922 -7.599 0.000 3.922 7.599 0.000 0.000 0.000 5.189" Properties=species:S:1:pos:R:3 comment="Ho3HgSb PBE-GGA relaxed" volume_a3_per_cell=309.28 dos_at_fermi_per_ev_cell=9.7 dft_energy_ev_per_atom=-3.801 pbc="T T T"
Ho 1.961 3.799 2.594
Ho 3.922 5.145 0.000
Ho 2.463 0.000 2.594
Ho 1.961 -3.799 2.594
Ho 5.381 0.000 2.594
Ho 3.922 -5.145 0.000
Hg 3.922 6.157 2.594
Hg 3.922 -6.157 2.594
Sb 3.922 2.034 0.000
Sb 3.922 -2.034 0.000

=====

10
Lattice="6.657 0.000 0.000 0.000 6.657 0.000 0.000 0.000 2.706" Properties=species:S:1:pos:R:3 comment="Mn2Cr2Rh PBE-GGA relaxed" ef_ev_per_atom=0.164 volume_a3_per_cell=119.94 dos_at_fermi_per_ev_cell=16.2 dft_energy_ev_per_atom=-8.823 pbc="T T T"
Mn 0.890 2.438 0.000
Mn 2.438 5.767 0.000
Mn 4.219 0.890 0.000
Mn 5.767 4.219 0.000
Cr 1.098 4.426 1.353
Cr 2.231 1.098 1.353
Cr 4.426 5.559 1.353
Cr 5.559 2.231 1.353
Rh 0.000 0.000 0.000
Rh 3.329 3.329 0.000

=====

5
Lattice="4.404 0.000 0.000 0.000 4.404 0.000 0.000 0.000 4.545" Properties=species:S:1:pos:R:3 comment="NiOs2PtC PBE-GGA relaxed" ef_ev_per_atom=2.992 volume_a3_per_cell=88.13 dos_at_fermi_per_ev_cell=7.8 dft_energy_ev_per_atom=-5.709 pbc="T T T"
Ni 0.000 0.000 0.000
Os 0.000 2.202 0.000
Os 2.202 0.000 0.000
Pt 0.000 0.000 2.272
C 2.202 2.202 2.272

=====

5
Lattice="5.408 0.000 0.000 0.000 5.408 0.000 0.000 0.000 4.834" Properties=species:S:1:pos:R:3 comment="TiCd2TeIr PBE-GGA relaxed" volume_a3_per_cell=141.36 dos_at_fermi_per_ev_cell=11.0 dft_energy_ev_per_atom=-3.052 pbc="T T T"
Ti 0.000 0.000 0.000
Cd 0.000 2.704 2.417
Cd 2.704 0.000 2.417
Te 2.704 2.704 2.417
Ir 2.704 2.704 0.000

=====

12
Lattice="3.289 0.000 0.000 -1.644 2.848 0.000 0.000 0.000 25.389" Properties=species:S:1:pos:R:3 comment="Er2VH PBE-GGA relaxed" volume_a3_per_cell=237.81 dos_at_fermi_per_ev_cell=17.9 dft_energy_ev_per_atom=-4.969 pbc="T T T"
Er 0.000 0.000 2.836
Er 0.000 0.000 22.553
Er 0.000 1.899 14.090
Er 0.000 1.899 19.762
Er 1.644 0.949 5.627
Er 1.644 0.949 11.299
V 0.000 0.000 0.000
V 0.000 1.899 16.926
V 1.644 0.949 8.463
H 0.000 0.000 12.695
H 0.000 1.899 4.232
H 1.644 0.949 21.158

=====

18
Lattice="3.722 2.149 6.362 -3.722 2.149 6.362 0.000 -4.298 6.362" Properties=species:S:1:pos:R:3 comment="Cs2SrOs3O12 PBE-GGA relaxed" volume_a3_per_cell=305.36 dos_at_fermi_per_ev_cell=8.8 dft_energy_ev_per_atom=-6.754 pbc="T T T"
Cs 0.000 0.000 2.083
Cs 0.000 0.000 17.002
Sr 0.000 0.000 9.543
Os -1.861 -1.075 6.362
Os -1.861 1.075 12.724
Os 0.000 2.149 6.362
O -1.814 -1.047 8.184
O 0.000 -1.638 6.324
O -1.419 0.819 6.324
O 0.000 -2.095 10.902
O -1.814 1.047 10.902
O -1.419 -0.819 12.762
O 1.419 0.819 6.324
O 1.814 -1.047 8.184
O 0.000 2.095 8.184
O 1.419 -0.819 12.762
O 0.000 1.638 12.762
O 1.814 1.047 10.902

=====

8
Lattice="4.520 0.000 0.000 0.000 4.520 0.000 0.000 0.000 8.057" Properties=species:S:1:pos:R:3 comment="CaMg2Tc PBE-GGA relaxed" ef_ev_per_atom=0.352 volume_a3_per_cell=164.64 dos_at_fermi_per_ev_cell=8.8 dft_energy_ev_per_atom=-3.537 pbc="T T T"
Ca 0.000 0.000 0.000
Ca 2.260 2.260 4.029
Mg 0.000 2.260 2.014
Mg 0.000 2.260 6.043
Mg 2.260 0.000 2.014
Mg 2.260 0.000 6.043
Tc 0.000 0.000 4.029
Tc 2.260 2.260 0.000

=====

12
Lattice="3.564 0.000 0.000 -1.782 3.086 0.000 0.000 0.000 30.349" Properties=species:S:1:pos:R:3 comment="NdNiPb2 PBE-GGA relaxed" ef_ev_per_atom=0.190 volume_a3_per_cell=333.84 dos_at_fermi_per_ev_cell=11.6 dft_energy_ev_per_atom=-4.302 pbc="T T T"
Nd 0.000 0.000 0.000
Nd 0.000 2.058 20.233
Nd 1.782 1.029 10.116
Ni 0.000 0.000 15.174
Ni 0.000 2.058 5.058
Ni 1.782 1.029 25.291
Pb 0.000 0.000 3.267
Pb 0.000 0.000 27.082
Pb 0.000 2.058 16.965
Pb 0.000 2.058 23.500
Pb 1.782 1.029 6.849
Pb 1.782 1.029 13.383

=====

16
Lattice="6.521 0.000 0.000 0.000 6.521 0.000 0.000 0.000 6.521" Properties=species:S:1:pos:R:3 comment="ZrNbMoRh PBE-GGA relaxed" ef_ev_per_atom=-0.347 volume_a3_per_cell=277.24 dos_at_fermi_per_ev_cell=9.4 dft_energy_ev_per_atom=-9.547 pbc="T T T"
Zr 0.000 0.000 0.000
Zr 0.000 3.260 3.260
Zr 3.260 0.000 3.260
Zr 3.260 3.260 0.000
Nb 0.000 0.000 3.260
Nb 0.000 3.260 0.000
Nb 3.260 0.000 0.000
Nb 3.260 3.260 3.260
Mo 1.630 1.630 1.630
Mo 1.630 4.890 4.890
Mo 4.890 1.630 4.890
Mo 4.890 4.890 1.630
Rh 1.630 1.630 4.890
Rh 1.630 4.890 1.630
Rh 4.890 1.630 1.630
Rh 4.890 4.890 4.890

=====

5
Lattice="5.535 0.000 0.000 0.000 5.535 0.000 0.000 0.000 6.126" Properties=species:S:1:pos:R:3 comment="BaCa2AgPt PBE-GGA relaxed" ef_ev_per_atom=-0.375 volume_a3_per_cell=187.66 dos_at_fermi_per_ev_cell=2.5 dft_energy_ev_per_atom=-3.338 pbc="T T T"
Ba 0.000 0.000 0.000
Ca 0.000 2.767 3.063
Ca 2.767 0.000 3.063
Ag 2.767 2.767 0.000
Pt 0.000 0.000 3.063

=====

10
Lattice="0.000 4.415 4.415 4.415 0.000 4.415 4.415 4.415 0.000" Properties=species:S:1:pos:R:3 comment="Rb2PuThO6 PBE-GGA relaxed" volume_a3_per_cell=172.09 dos_at_fermi_per_ev_cell=7.2 dft_energy_ev_per_atom=-8.046 pbc="T T T"
Rb 2.207 2.207 2.207
Rb 6.622 6.622 6.622
Pu 0.000 0.000 0.000
Th 4.415 4.415 4.415
O 4.415 4.415 2.094
O 4.415 2.094 4.415
O 6.736 4.415 4.415
O 2.094 4.415 4.415
O 4.415 6.736 4.415
O 4.415 4.415 6.736

=====

4
Lattice="3.543 0.000 0.000 0.000 3.543 0.000 0.000 0.000 4.489" Properties=species:S:1:pos:R:3 comment="Li2ReRu PBE-GGA relaxed" ef_ev_per_atom=0.337 volume_a3_per_cell=56.33 dos_at_fermi_per_ev_cell=3.3 dft_energy_ev_per_atom=-6.051 pbc="T T T"
Li 0.000 1.771 0.000
Li 1.771 0.000 0.000
Re 0.000 0.000 2.244
Ru 1.771 1.771 2.244

=====

6
Lattice="3.418 0.000 0.000 0.000 4.539 0.000 -0.038 0.000 10.414" Properties=species:S:1:pos:R:3 comment="USCl PBE-GGA relaxed" volume_a3_per_cell=161.58 dos_at_fermi_per_ev_cell=12.1 dft_energy_ev_per_atom=-7.171 pbc="T T T"
U 0.000 1.135 1.404
U 3.380 3.405 9.009
S 1.671 1.135 9.418
S 1.709 3.405 0.996
Cl 1.671 3.405 6.870
Cl 1.709 1.135 3.544

=====

5
Lattice="5.300 0.000 0.000 0.000 5.300 0.000 0.000 0.000 5.300" Properties=species:S:1:pos:R:3 comment="KP3I PBE-GGA relaxed" volume_a3_per_cell=148.86 dos_at_fermi_per_ev_cell=6.1 dft_energy_ev_per_atom=-2.741 pbc="T T T"
K 0.000 0.000 0.000
P 0.000 2.650 2.650
P 2.650 0.000 2.650
P 2.650 2.650 0.000
I 2.650 2.650 2.650

=====

12
Lattice="2.881 0.000 0.000 -1.440 2.495 0.000 0.000 0.000 26.292" Properties=species:S:1:pos:R:3 comment="TlFe2Ir PBE-GGA relaxed" ef_ev_per_atom=0.518 volume_a3_per_cell=188.96 dos_at_fermi_per_ev_cell=15.3 dft_energy_ev_per_atom=-6.520 pbc="T T T"
Tl 0.000 0.000 0.000
Tl 0.000 1.663 17.528
Tl 1.440 0.832 8.764
Fe 0.000 0.000 6.406
Fe 0.000 0.000 19.886
Fe 0.000 1.663 11.122
Fe 0.000 1.663 23.933
Fe 1.440 0.832 2.358
Fe 1.440 0.832 15.169
Ir 0.000 0.000 13.146
Ir 0.000 1.663 4.382
Ir 1.440 0.832 21.910